[1]
Computed, not measured: a relaxed LiY3Pu3Te8 crystal at the PBE level of DFT.

Cell: 8.776 8.777 8.771 Å, 120.02 90.00 120.00°
Positions (direct):
Te 0.751 0.996 0.247
Te 0.755 0.004 0.753
Y 0.500 0.500 0.000
Te 0.751 0.502 0.754
Te 0.245 0.996 0.247
Te 0.249 0.004 0.753
Te 0.248 0.497 0.752
Pu 0.500 0.000 0.500
Li 0.000 0.000 0.500
Pu 0.000 0.500 0.500
Te 0.249 0.498 0.246
Pu 0.500 0.500 0.500
Y 0.000 0.500 0.000
Y 0.000 0.000 0.000
Te 0.752 0.503 0.248

Computed properties:
- raw formation energy (eV/f.u.) = -17.95
- VASP energy (eV/atom) = -7.159
- total magnetic moment (μB per formula unit) = 17.41


[2]
Computed, not measured: a relaxed Li3PuZr2Te6 crystal at the PBE level of DFT.

Cell: 7.221 7.221 7.526 Å, 99.22 99.22 120.09°
Positions (direct):
Te 0.434 0.085 0.254
Te 0.265 0.265 0.747
Te 0.735 0.735 0.253
Pu 0.000 0.000 0.000
Te 0.915 0.566 0.746
Te 0.085 0.434 0.254
Te 0.566 0.915 0.746
Zr 0.332 0.668 0.000
Li 0.839 0.161 0.500
Li 0.161 0.839 0.500
Li 0.500 0.500 0.500
Zr 0.668 0.332 0.000

Computed properties:
- raw formation energy (eV/f.u.) = -11.34
- VASP energy (eV/atom) = -5.613
- total magnetic moment (μB per formula unit) = 6.65